The following is a PBE calculation of an optimized crystal structure of Ba2Sn2Se5, from Alexandria via LeMat-Bulk.

Cell: 20.239 8.004 7.762 Å, 90.00 90.00 90.00°
Space group Ima2 (No. 46)
One atom of each set of equivalent atoms:
1 Ba 0.103 0.024 0.000
2 Sn 0.000 0.000 0.516
3 Sn 0.250 0.570 0.978
4 Se 0.011 0.741 0.760
5 Se 0.143 0.082 0.580
6 Se 0.250 0.627 0.623

Uncorrected formation energy   -1.0895 eV per atom
N(E_F)   15.24 states/eV/cell